No. 1
GaCoNi2O4 after structural relaxation. Source: Alexandria, functional GGA+U.

Unit cell a=5.253 b=5.253 c=5.253 alpha=131.99 beta=131.99 gamma=70.24
Sites, in units of the cell vectors:
Ga 0.000 0.000 0.000
Co 0.500 0.500 0.000
Ni 0.250 0.750 0.500
Ni 0.750 0.250 0.500
O 0.000 0.500 0.500
O 0.227 0.227 0.000
O 0.500 0.000 0.500
O 0.773 0.773 0.000

Properties
D(E_F): 0.41 states/eV/atom
Total magnetization: 0.76 μB/atom
VASP energy: -0.189 Ha/atom
Crystal system: tetragonal

No. 2
GaCo2NiO4 after structural relaxation. Source: Alexandria, functional GGA+U.

Unit cell a=5.477 b=5.463 c=4.741 alpha=64.47 beta=64.17 gamma=51.36
Sites, in units of the cell vectors:
Ga 0.000 0.000 0.000
Co 0.249 0.249 0.251
Co 0.749 0.749 0.751
Ni 0.492 0.492 0.508
O 0.105 0.649 0.351
O 0.353 0.892 0.647
O 0.649 0.105 0.895
O 0.892 0.353 0.108

Properties
D(E_F): 0.10 states/eV/atom
Total magnetization: 0.88 μB/atom
VASP energy: -0.204 Ha/atom
Crystal system: orthorhombic

What is the total magnetization in the first record?
0.76 μB/atom